AcLa2Nd4Er | PBE | relaxed

Values from the calculation:
VASP energy ... -4.59 eV per atom
E_form ... 86 kJ/mol of formula units

abc: 6.1297 6.1569 7.6609
angles: 90.00 90.00 90.00
Last column: nearest neighbours and their distance in Å.
Positions (direct):
Ac: 0.0000 0.0000 0.0000  8 Nd 3.68-3.69, 2 La 3.83
La: 0.0000 0.0000 0.5000  8 Nd 3.55-3.56, 2 Ac 3.83
La: 0.5000 0.5000 0.0000  8 Nd 3.68-3.69, 2 Er 3.83
Nd: 0.0000 0.5000 0.2654  2 Er 3.55, 4 La 3.56-3.68, 1 Nd 3.59, 2 Ac 3.69
Nd: 0.0000 0.5000 0.7346  2 Er 3.55, 4 La 3.56-3.68, 1 Nd 3.59, 2 Ac 3.69
Nd: 0.5000 0.0000 0.2665  4 La 3.55-3.69, 2 Er 3.56, 1 Nd 3.58, 2 Ac 3.68
Nd: 0.5000 0.0000 0.7335  4 La 3.55-3.69, 2 Er 3.56, 1 Nd 3.58, 2 Ac 3.68
Er: 0.5000 0.5000 0.5000  8 Nd 3.55-3.56, 2 La 3.83


Rb5Cr2H12 | PBE | relaxed

Values from the calculation:
VASP energy ... -3.36 eV per atom

abc: 7.2777 7.2777 7.6062
angles: 108.51 108.51 75.45
Last column: nearest neighbours and their distance in Å.
Positions (direct):
Rb: 0.0000 0.0000 0.0000  2 H 2.63
Rb: 0.3122 0.3122 0.8683  6 H 2.68-2.98
Rb: 0.3298 0.3298 0.4183  4 H 2.66-2.91
Rb: 0.6702 0.6702 0.5817  4 H 2.66-2.91
Rb: 0.6878 0.6878 0.1317  6 H 2.68-2.98
Cr: 0.1145 0.8855 0.5000  6 H 1.67-1.71
Cr: 0.8855 0.1145 0.5000  6 H 1.67-1.71
H: 0.0326 0.6807 0.4722  1 Cr 1.67
H: 0.0556 0.0556 0.3709  2 Cr 1.71
H: 0.0990 0.7533 0.2709  1 Cr 1.69
H: 0.2467 0.9010 0.7291  1 Cr 1.69
H: 0.3193 0.9674 0.5278  1 Cr 1.67
H: 0.4871 0.4871 0.2294  4 Rb 2.66-2.73
H: 0.5129 0.5129 0.7706  4 Rb 2.66-2.73
H: 0.6807 0.0326 0.4722  1 Cr 1.67
H: 0.7533 0.0990 0.2709  1 Cr 1.69
H: 0.9010 0.2467 0.7291  1 Cr 1.69
H: 0.9444 0.9444 0.6291  2 Cr 1.71
H: 0.9674 0.3193 0.5278  1 Cr 1.67


Y3Cu3Ni2 | PBE | relaxed

Values from the calculation:
E above lowest polymorph ... 0.03 eV per formula unit
VASP energy ... -5.72 eV per atom
E_form ... -246 kJ/mol of formula units

abc: 5.2816 5.2816 15.3062
angles: 90.00 90.00 136.21
Last column: nearest neighbours and their distance in Å.
Positions (direct):
Y: 0.0771 0.9229 0.6032  3 Ni 2.84-2.87, 7 Cu 2.93-3.07
Y: 0.0771 0.9229 0.8968  3 Ni 2.84-2.87, 7 Cu 2.93-3.07
Y: 0.3572 0.6428 0.7500  3 Cu 2.84-2.86, 4 Ni 2.96
Y: 0.6428 0.3572 0.2500  3 Cu 2.84-2.86, 4 Ni 2.96
Y: 0.9229 0.0771 0.1032  3 Ni 2.84-2.87, 7 Cu 2.93-3.07
Y: 0.9229 0.0771 0.3968  3 Ni 2.84-2.87, 7 Cu 2.93-3.07
Cu: 0.3514 0.6486 0.2500  2 Ni 2.48
Cu: 0.3650 0.6350 0.5336  3 Ni 2.45-2.69
Cu: 0.3650 0.6350 0.9664  3 Ni 2.45-2.69
Cu: 0.6350 0.3650 0.0336  3 Ni 2.45-2.69
Cu: 0.6350 0.3650 0.4664  3 Ni 2.45-2.69
Cu: 0.6486 0.3514 0.7500  2 Ni 2.48
Ni: 0.2149 0.7851 0.1133  4 Cu 2.45-2.69
Ni: 0.2149 0.7851 0.3867  4 Cu 2.45-2.69
Ni: 0.7851 0.2149 0.6133  4 Cu 2.45-2.69
Ni: 0.7851 0.2149 0.8867  4 Cu 2.45-2.69


InAsSe2 | PBE | relaxed

Values from the calculation:
VASP energy ... -3.76 eV per atom
Energy relative to the elements, uncorrected ... -0.17 eV per atom

abc: 6.4610 6.4610 4.3778
angles: 96.27 96.27 36.83
Last column: nearest neighbours and their distance in Å.
Positions (direct):
In: 0.0000 0.0000 0.0000  5 Se 3.00-3.11
As: 0.2646 0.2646 0.3462  3 Se 2.38-2.61
Se: 0.4575 0.4575 0.4988  1 As 2.38
Se: 0.7450 0.7450 0.9726  2 As 2.61